(1)
AgPdC3, relaxed, DFT PBEsol; E = -22.16 eV/cell; space group = Pm-3m (221); energy relative to the elements = 3.2084 eV per atom
1.0
-3.005 -2.132 1.583
2.652 -2.528 1.630
0.131 2.269 3.304
C Ag Pd
3 1 1
Direct
0.000 0.500 0.000
0.500 0.000 0.000
0.000 0.000 0.500
0.000 0.000 0.000
0.500 0.500 0.500



(2)
LiSc2Pt, relaxed, DFT PBEsol; E = -24.24 eV/cell; ΔE to the lowest computed polymorph = 0.1989 eV per atom; space group = Imm2 (44); energy relative to the elements = -0.5243 eV per atom
1.0
3.385 0.000 0.000
0.000 4.490 0.000
-1.693 -2.245 4.828
Sc Pt Li
2 1 1
Direct
0.032 0.032 0.064
0.251 0.751 0.502
0.748 0.248 0.497
0.468 0.468 0.937



(3)
La5Cd24, relaxed, DFT PBEsol; E = -61.99 eV/cell; space group = I-43m (217); energy relative to the elements = -0.2251 eV per atom
1.0
9.567 0.000 0.000
-3.189 9.020 0.000
-3.189 -4.510 7.812
Cd La
24 5
Direct
0.807 0.807 0.178
0.822 0.629 0.629
0.000 0.193 0.371
0.629 0.629 0.822
0.629 0.822 0.629
0.711 0.330 0.330
0.620 0.289 0.620
0.193 0.000 0.371
0.670 0.000 0.380
0.178 0.807 0.807
0.000 0.380 0.670
0.380 0.670 0.000
0.371 0.193 0.000
0.000 0.670 0.380
0.330 0.330 0.711
0.330 0.711 0.330
0.289 0.620 0.620
0.380 0.000 0.670
0.193 0.371 0.000
0.371 0.000 0.193
0.000 0.371 0.193
0.620 0.620 0.289
0.807 0.178 0.807
0.670 0.380 0.000
0.616 0.000 0.000
0.000 0.000 0.000
0.384 0.384 0.384
0.000 0.616 0.000
0.000 0.000 0.616



(4)
PrAlSi2, relaxed, DFT PBEsol; E = -45.66 eV/cell; space group = P-3m1 (164); energy relative to the elements, uncorrected = -0.52 eV per atom
1.0
4.148 0.000 0.000
-2.074 3.592 0.000
0.000 0.000 11.032
Pr Al Si
2 2 4
Direct
0.000 0.000 0.182
0.000 0.000 0.818
0.667 0.333 0.415
0.333 0.667 0.585
0.333 0.667 0.354
0.333 0.667 0.995
0.667 0.333 0.005
0.667 0.333 0.646



(5)
KHgSe3, relaxed, DFT PBEsol; E = -13.27 eV/cell; space group = Pm-3m (221); energy relative to the elements, uncorrected = 0.00 eV per atom
1.0
5.274 0.000 0.000
0.000 5.274 0.000
0.000 0.000 5.274
Se K Hg
3 1 1
Direct
0.000 0.500 0.000
0.000 0.000 0.500
0.500 0.000 0.000
0.500 0.500 0.500
0.000 0.000 0.000



(6)
Cu2OsW, relaxed, DFT PBEsol; E = -33.40 eV/cell; ΔE to the lowest computed polymorph = 0.0404 eV per atom; space group = C2/m (12); energy relative to the elements = 0.3217 eV per atom
1.0
2.655 0.000 0.000
0.000 4.609 0.006
-1.327 -0.773 4.380
Cu Os W
2 1 1
Direct
0.748 0.750 0.496
0.252 0.250 0.504
0.000 0.500 0.000
0.500 0.000 0.000



(7)
Sb3OsO, relaxed, DFT PBEsol; E = -26.16 eV/cell; space group = Pm-3m (221); energy relative to the elements, uncorrected = 0.99 eV per atom
1.0
-2.208 0.367 -4.516
0.951 -4.875 -0.861
-4.430 -1.229 2.066
Sb Os O
3 1 1
Direct
0.000 0.500 0.000
0.500 0.000 0.000
0.000 0.000 0.500
0.000 0.000 0.000
0.500 0.500 0.500



(8)
CdCoPt2, relaxed, DFT PBEsol; E = -23.05 eV/cell; space group = I4/mmm (139); energy relative to the elements = -0.0476 eV per atom
1.0
3.923 0.000 0.000
0.000 3.923 0.000
-1.961 -1.961 3.847
Cd Pt Co
1 2 1
Direct
0.500 0.500 0.000
0.250 0.750 0.500
0.750 0.250 0.500
0.000 0.000 0.000



(9)
AlSiAs2Se, relaxed, DFT PBEsol; E = -20.78 eV/cell; space group = P4/mmm (123); energy relative to the elements, uncorrected = 0.63 eV per atom
1.0
4.772 0.000 0.000
0.000 4.772 0.000
0.000 0.000 4.790
As Se Si Al
2 1 1 1
Direct
0.500 0.000 0.000
0.000 0.500 0.000
0.000 0.000 0.500
0.500 0.500 0.500
0.000 0.000 0.000



(10)
LaCrB2, relaxed, DFT PBEsol; E = -57.25 eV/cell; space group = I4_1/amd (141); energy relative to the elements = 0.2489 eV per atom
1.0
-1.039 4.068 0.309
-2.573 -0.901 3.208
7.004 -0.594 2.688
B La Cr
4 2 2
Direct
0.625 0.375 0.750
0.625 0.375 0.250
0.125 0.375 0.750
0.625 0.875 0.250
0.250 0.750 0.500
0.000 0.000 0.000
0.500 0.500 0.000
0.750 0.250 0.500



(11)
TeWS2, relaxed, DFT PBEsol; E = -23.66 eV/cell; space group = R-3m (166); energy relative to the elements, uncorrected = 0.61 eV per atom
1.0
-1.224 1.078 2.714
-1.653 -1.944 1.874
6.500 -2.531 5.783
Te S W
1 2 1
Direct
0.500 0.500 0.500
0.084 0.084 0.749
0.916 0.916 0.251
0.000 0.000 0.000



(12)
TlNi2Ir, relaxed, DFT PBEsol; E = -23.51 eV/cell; ΔE to the lowest computed polymorph = 0.0412 eV per atom; space group = P4mm (99); energy relative to the elements = 0.3146 eV per atom
1.0
-2.578 -0.416 -1.394
0.042 -2.858 0.776
-3.142 1.416 5.385
Ir Ni Tl
1 2 1
Direct
0.500 0.500 0.799
0.500 0.500 0.209
0.000 0.000 0.012
0.000 0.000 0.480



(13)
BaAlIr2, relaxed, DFT PBEsol; E = -24.37 eV/cell; ΔE to the lowest computed polymorph = 0.3370 eV per atom; space group = Immm (71); energy relative to the elements = 0.3792 eV per atom
1.0
4.049 0.000 0.000
2.024 4.560 0.026
2.024 1.337 4.360
Al Ir Ba
1 2 1
Direct
0.500 0.000 0.000
0.202 0.798 0.798
0.798 0.202 0.202
0.000 0.500 0.500



(14)
TaSi2, relaxed, DFT PBEsol; E = -25.57 eV/cell; space group = I4/mmm (139); energy relative to the elements, uncorrected = -0.51 eV per atom
1.0
3.253 0.000 0.000
0.000 3.253 0.000
-1.626 -1.626 4.081
Si Ta
2 1
Direct
0.668 0.668 0.337
0.332 0.332 0.663
0.000 0.000 0.000